No. 1
Here is Re2PPb after structural relaxation from Alexandria. Energies are from PBE-GGA.

* energy above the lowest structure with this stoichiometry: 371 meV/atom
* calculated total energy: -7.8743 eV/atom
* space group: P2/m, No. 10
* M_tot: 0.000 μB per atom

Cell: 3.7010 2.9840 6.5306 Å, 83.24 90.00 90.00°
Element x y z (fractional)
Re1 0.0000 0.2746 0.8226
Re2 0.0000 0.7254 0.1774
P1 0.5000 0.5000 0.0000
Pb1 0.5000 0.0000 0.5000

No. 2
Here is Re2PPb after structural relaxation from Alexandria. Energies are from PBE-GGA.

* energy above the lowest structure with this stoichiometry: 148 meV/atom
* calculated total energy: -8.0968 eV/atom
* space group: Cm, No. 8
* M_tot: 0.000 μB per atom

Cell: 4.4975 4.4975 5.9440 Å, 79.14 79.14 39.95°
Element x y z (fractional)
Pb1 0.2553 0.2553 0.2318
P1 0.4664 0.4664 0.6640
Re1 0.7494 0.7494 0.6685
Re2 0.0289 0.0289 0.9357

No. 3
Here is Re2PPb after structural relaxation from Alexandria. Energies are from PBE-GGA.

* energy above the lowest structure with this stoichiometry: 0 meV/atom
* calculated total energy: -8.2451 eV/atom
* space group: P4mm, No. 99
* M_tot: 0.000 μB per atom

Cell: 2.9649 2.9649 8.3854 Å, 90.00 90.00 90.00°
Element x y z (fractional)
Re1 0.5000 0.5000 0.2558
Re2 0.0000 0.0000 0.0492
Pb1 0.5000 0.5000 0.7754
P1 0.0000 0.0000 0.4196

No. 4
Here is Re2PPb after structural relaxation from Alexandria. Energies are from PBE-GGA.

* energy above the lowest structure with this stoichiometry: 387 meV/atom
* calculated total energy: -7.8585 eV/atom
* space group: Cmm2, No. 35
* M_tot: 0.000 μB per atom

Cell: 2.8897 2.8897 10.0015 Å, 90.00 90.00 115.44°
Element x y z (fractional)
Pb1 0.5000 0.5000 0.2280
Re1 0.0000 0.0000 0.9635
Re2 0.5000 0.5000 0.7456
P1 0.0000 0.0000 0.5628

No. 5
Here is Re2PPb after structural relaxation from Alexandria. Energies are from PBE-GGA.

* energy above the lowest structure with this stoichiometry: 221 meV/atom
* calculated total energy: -8.0240 eV/atom
* space group: C2/m, No. 12
* M_tot: 0.000 μB per atom

Cell: 4.0021 4.0021 6.5433 Å, 76.26 76.26 45.17°
Element x y z (fractional)
Re1 0.7416 0.7416 0.3316
Re2 0.2584 0.2584 0.6684
P1 0.0000 0.0000 0.5000
Pb1 0.5000 0.5000 0.0000

No. 6
Here is Re2PPb after structural relaxation from Alexandria. Energies are from PBE-GGA.

* energy above the lowest structure with this stoichiometry: 750 meV/atom
* calculated total energy: -7.4951 eV/atom
* space group: I-4m2, No. 119
* M_tot: 0.000 μB per atom

Cell: 4.8171 4.8171 4.8171 Å, 127.72 127.72 77.08°
Element x y z (fractional)
Re1 0.0000 0.0000 0.0000
Re2 0.2500 0.7500 0.5000
P1 0.5000 0.5000 0.0000
Pb1 0.7500 0.2500 0.5000

No. 7
Here is Re2PPb after structural relaxation from Alexandria. Energies are from PBE-GGA.

* energy above the lowest structure with this stoichiometry: 482 meV/atom
* calculated total energy: -7.7630 eV/atom
* space group: I-42d, No. 122
* M_tot: 0.000 μB per atom

Cell: 4.2981 4.2981 9.0991 Å, 76.34 76.34 90.00°
Element x y z (fractional)
Re1 0.5224 0.1250 0.2500
Re2 0.8750 0.7724 0.7500
Re3 0.2276 0.6250 0.2500
Re4 0.3750 0.4776 0.7500
P1 0.5000 0.5000 0.0000
P2 0.2500 0.7500 0.5000
Pb1 0.7500 0.2500 0.5000
Pb2 0.0000 0.0000 0.0000

No. 8
Here is Re4PPb after structural relaxation from Alexandria. Energies are from PBE-GGA.

* calculated total energy: -8.8238 eV/atom
* space group: F-43m, No. 216
* M_tot: 0.000 μB per atom

Cell: 5.2978 5.2978 5.2978 Å, 60.00 60.00 60.00°
Element x y z (fractional)
Re1 0.3761 0.3761 0.3761
Re2 0.3761 0.3761 0.8717
Re3 0.3761 0.8717 0.3761
Re4 0.8717 0.3761 0.3761
Pb1 0.0000 0.0000 0.0000
P1 0.7500 0.7500 0.7500

No. 9
Here is Re3PPb after structural relaxation from Alexandria. Energies are from PBE-GGA.

* energy above the lowest structure with this stoichiometry: 0 meV/atom
* calculated total energy: -8.2476 eV/atom
* space group: Pm-3m, No. 221
* M_tot: 0.390 μB per atom

Cell: 4.4827 4.4827 4.4827 Å, 90.00 90.00 90.00°
Element x y z (fractional)
Pb1 0.5000 0.5000 0.5000
Re1 0.5000 0.0000 0.0000
Re2 0.0000 0.5000 0.0000
Re3 0.0000 0.0000 0.5000
P1 0.0000 0.0000 0.0000

No. 10
Here is Re2PPb after structural relaxation from Alexandria. Energies are from PBE-GGA.

* energy above the lowest structure with this stoichiometry: 280 meV/atom
* calculated total energy: -7.9647 eV/atom
* space group: P4/mmm, No. 123
* M_tot: 0.000 μB per atom

Cell: 3.0738 3.0738 7.3001 Å, 90.00 90.00 90.00°
Element x y z (fractional)
P1 0.5000 0.5000 0.0000
Re1 0.0000 0.0000 0.8267
Re2 0.0000 0.0000 0.1733
Pb1 0.5000 0.5000 0.5000

No. 11
Here is Re2PPb after structural relaxation from Alexandria. Energies are from PBE-GGA.

* energy above the lowest structure with this stoichiometry: 113 meV/atom
* calculated total energy: -8.1325 eV/atom
* space group: Imm2, No. 44
* M_tot: 0.000 μB per atom

Cell: 7.4013 7.4013 7.4013 Å, 156.31 154.30 35.23°
Element x y z (fractional)
P1 0.5474 0.5474 0.0000
Re1 0.9857 0.9857 0.0000
Re2 0.1639 0.6639 0.5000
Pb1 0.8030 0.3030 0.5000

No. 12
Here is Re2PPb after structural relaxation from Alexandria. Energies are from PBE-GGA.

* energy above the lowest structure with this stoichiometry: 877 meV/atom
* calculated total energy: -7.3684 eV/atom
* space group: Pmmm, No. 47
* M_tot: 0.000 μB per atom

Cell: 3.1086 4.3119 5.1547 Å, 90.00 90.00 90.00°
Element x y z (fractional)
Re1 0.5000 0.0000 0.5000
Re2 0.0000 0.0000 0.0000
P1 0.5000 0.5000 0.0000
Pb1 0.0000 0.5000 0.5000

No. 13
Here is Re3PPb after structural relaxation from Alexandria. Energies are from PBE-GGA.

* energy above the lowest structure with this stoichiometry: 2537 meV/atom
* calculated total energy: -5.7107 eV/atom
* space group: Pm-3m, No. 221
* M_tot: 0.643 μB per atom

Cell: 4.9760 4.9760 4.9760 Å, 90.00 90.00 90.00°
Element x y z (fractional)
P1 0.5000 0.5000 0.5000
Re1 0.5000 0.0000 0.0000
Re2 0.0000 0.0000 0.5000
Re3 0.0000 0.5000 0.0000
Pb1 0.0000 0.0000 0.0000